{
  "formula": "CaErTl",
  "functional": "PBE-GGA",
  "state": "relaxed",
  "vol_a3_per_atom": 30.56,
  "dos_at_fermi_per_ev_atom": 0.5640,
  "ef_ev_per_atom": -0.151,
  "sg": "No. 156",
  "final_energy_ev_per_atom": -3.128,
  "lattice": [[5.314, 0.000, 0.000], [-2.657, 4.602, 0.000], [0.000, 0.000, 3.749]],
  "species": ["Ca", "Er", "Tl"],
  "fractional_positions": [[0.000, 0.000, 0.000], [0.333, 0.667, 0.535], [0.667, 0.333, 0.357]]
}